Crystalline Na2Nd4Te3N2 at its relaxed geometry, computed with PBE.

Lattice parameters (Å, degrees): 4.907 4.907 13.053 100.83 100.83 90.00
Atoms (fractional coordinates):
Nd (0.588, 0.088, 0.176)
Na (0.696, 0.696, 0.393)
Nd (0.412, 0.912, 0.824)
Te (0.000, 0.000, 0.000)
N (0.403, 0.403, 0.806)
N (0.597, 0.597, 0.194)
Nd (0.912, 0.412, 0.824)
Nd (0.088, 0.588, 0.176)
Te (0.177, 0.177, 0.354)
Te (0.823, 0.823, 0.646)
Na (0.304, 0.304, 0.607)

Results
Crystal system ... tetragonal
Formation energy (no corrections) ... -104.0 kJ per mole of atoms

***

Crystalline Na2NdUN4 at its relaxed geometry, computed with PBE.

Lattice parameters (Å, degrees): 3.612 6.109 6.050 109.45 90.00 90.00
Atoms (fractional coordinates):
N (0.500, 0.721, 0.811)
Nd (0.000, 0.000, 0.000)
Na (0.000, 0.500, 0.500)
N (0.500, 0.279, 0.189)
N (0.000, 0.711, 0.194)
N (0.000, 0.289, 0.806)
Na (0.500, 0.000, 0.500)
U (0.500, 0.500, 0.000)

Results
Crystal system ... monoclinic
Formation energy (no corrections) ... -80.0 kJ per mole of atoms

***

Crystalline NaNdWN3 at its relaxed geometry, computed with PBE.

Lattice parameters (Å, degrees): 3.913 7.214 7.218 105.51 90.00 105.74
Atoms (fractional coordinates):
N (0.864, 0.728, 0.180)
N (0.154, 0.309, 0.340)
W (0.006, 0.012, 0.302)
Na (0.646, 0.292, 0.076)
Nd (0.666, 0.331, 0.610)
N (0.511, 0.022, 0.325)
N (0.489, 0.978, 0.675)
N (0.136, 0.272, 0.820)
Nd (0.334, 0.669, 0.390)
Na (0.354, 0.708, 0.924)
N (0.846, 0.691, 0.660)
W (0.994, 0.988, 0.698)

Results
Crystal system ... monoclinic
Formation energy (no corrections) ... -53.6 kJ per mole of atoms

***

Crystalline NaNi2N at its relaxed geometry, computed with PBE.

Lattice parameters (Å, degrees): 2.863 2.863 7.685 79.27 79.27 60.00
Atoms (fractional coordinates):
Na (0.000, 0.000, 0.000)
Ni (0.879, 0.879, 0.363)
N (0.500, 0.500, 0.500)
Ni (0.121, 0.121, 0.637)

Results
Crystal system ... trigonal
Formation energy (no corrections) ... 40.6 kJ per mole of atoms

***

Crystalline Na2NiN4 at its relaxed geometry, computed with PBE.

Lattice parameters (Å, degrees): 5.036 6.576 6.576 70.15 67.49 67.49
Atoms (fractional coordinates):
N (0.579, 0.758, 0.085)
Na (0.650, 0.215, 0.485)
N (0.616, 0.565, 0.203)
N (0.384, 0.435, 0.797)
Na (0.150, 0.485, 0.215)
Ni (0.250, 0.000, 0.000)
N (0.421, 0.242, 0.915)
Na (0.850, 0.515, 0.785)
Na (0.350, 0.785, 0.515)
Ni (0.750, 0.000, 0.000)
N (0.116, 0.203, 0.565)
N (0.079, 0.085, 0.758)
N (0.921, 0.915, 0.242)
N (0.884, 0.797, 0.435)

Results
Crystal system ... orthorhombic
Formation energy (no corrections) ... -1.6 kJ per mole of atoms

***

Crystalline NaNiN2 at its relaxed geometry, computed with PBE.

Lattice parameters (Å, degrees): 5.388 5.388 5.241 59.07 59.07 90.00
Atoms (fractional coordinates):
Na (0.500, 0.500, 0.000)
Ni (0.750, 0.250, 0.500)
N (0.732, 0.125, 0.250)
N (0.018, 0.625, 0.250)
Ni (0.000, 0.000, 0.000)
N (0.375, 0.268, 0.750)
N (0.875, 0.982, 0.750)
Na (0.250, 0.750, 0.500)

Results
Crystal system ... tetragonal
Formation energy (no corrections) ... 52.9 kJ per mole of atoms

***

Crystalline NaNi2N at its relaxed geometry, computed with PBE.

Lattice parameters (Å, degrees): 4.965 4.965 6.235 66.54 66.54 90.00
Atoms (fractional coordinates):
Na (0.750, 0.250, 0.500)
N (0.500, 0.500, 0.000)
Ni (0.375, 0.125, 0.250)
Ni (0.875, 0.625, 0.750)
N (0.250, 0.750, 0.500)
Na (0.000, 0.000, 0.000)
Ni (0.375, 0.625, 0.250)
Ni (0.375, 0.625, 0.750)

Results
Crystal system ... tetragonal
Formation energy (no corrections) ... 4.1 kJ per mole of atoms

***

Crystalline NaNiN3 at its relaxed geometry, computed with PBE.

Lattice parameters (Å, degrees): 3.937 3.937 3.937 90.00 90.00 90.00
Atoms (fractional coordinates):
N (0.000, 0.000, 0.500)
Ni (0.500, 0.500, 0.500)
N (0.500, 0.000, 0.000)
N (0.000, 0.500, 0.000)
Na (0.000, 0.000, 0.000)

Results
Crystal system ... cubic
Formation energy (no corrections) ... 315.4 kJ per mole of atoms

***

Crystalline Na3NiN at its relaxed geometry, computed with PBE.

Lattice parameters (Å, degrees): 4.700 4.700 4.700 90.00 90.00 90.00
Last column: magnetic moment on the atom in μB.
Atoms (fractional coordinates):
Ni (0.500, 0.500, 0.500)  0.94
Na (0.000, 0.000, 0.500)  0.00
Na (0.500, 0.000, 0.000)  -0.01
N (0.000, 0.000, 0.000)  0.73
Na (0.000, 0.500, 0.000)  -0.01

Results
Crystal system ... cubic
Formation energy (no corrections) ... 70.9 kJ per mole of atoms

***

Crystalline NaNiN2 at its relaxed geometry, computed with PBE.

Lattice parameters (Å, degrees): 7.247 7.247 7.247 21.58 21.58 21.58
Atoms (fractional coordinates):
Ni (0.000, 0.000, 0.000)
N (0.082, 0.082, 0.082)
Na (0.500, 0.500, 0.500)
N (0.918, 0.918, 0.918)

Results
Crystal system ... trigonal
Formation energy (no corrections) ... 121.8 kJ per mole of atoms

***

Crystalline NaNi2N2 at its relaxed geometry, computed with PBE.

Lattice parameters (Å, degrees): 3.659 3.659 5.031 68.68 68.68 90.00
Atoms (fractional coordinates):
N (0.250, 0.750, 0.500)
Ni (0.314, 0.314, 0.372)
Ni (0.686, 0.686, 0.628)
Na (0.000, 0.000, 0.000)
N (0.750, 0.250, 0.500)

Results
Crystal system ... tetragonal
Formation energy (no corrections) ... 30.0 kJ per mole of atoms

***

Crystalline Na4Ni2N at its relaxed geometry, computed with PBE.

Lattice parameters (Å, degrees): 5.032 5.032 7.346 69.97 69.97 90.00
Last column: magnetic moment on the atom in μB.
Atoms (fractional coordinates):
Ni (0.590, 0.590, 0.821)  0.85
Na (0.000, 0.500, 0.000)  -0.01
N (0.000, 0.000, 0.000)  0.79
Na (0.500, 0.000, 0.000)  -0.01
Ni (0.410, 0.410, 0.179)  0.85
Na (0.179, 0.179, 0.641)  0.00
Na (0.821, 0.821, 0.359)  0.00

Results
Crystal system ... tetragonal
Formation energy (no corrections) ... 79.0 kJ per mole of atoms

***

- Among the records above, which one has the lowest formation energy (no corrections)?
  Na2Nd4Te3N2

***

- Which value of formation energy (no corrections) does entry 7 give?
  4.1 kJ per mole of atoms

***

Copy entry 10 word for word.
Crystalline NaNiN2 at its relaxed geometry, computed with PBE.

Lattice parameters (Å, degrees): 7.247 7.247 7.247 21.58 21.58 21.58
Atoms (fractional coordinates):
Ni (0.000, 0.000, 0.000)
N (0.082, 0.082, 0.082)
Na (0.500, 0.500, 0.500)
N (0.918, 0.918, 0.918)

Results
Crystal system ... trigonal
Formation energy (no corrections) ... 121.8 kJ per mole of atoms